1.
Computed, not measured: a PBEsol-optimized structure of Ca2AlSi at the meta-GGA SCAN level of DFT.

## Properties
D(E_F)   2.642 states/eV per cell
Crystal system   trigonal
Formation energy (no corrections)   21 meV per atom
Space-group type   R-3m (166)

```
Ca2AlSi
1.0
1.7554 1.0135 9.4654
-1.7554 1.0135 9.4654
0.0000 -2.0269 9.4654
Ca Al Si
2 1 1
direct
0.2442 0.2442 0.2442
0.7558 0.7558 0.7558
0.0000 0.0000 0.0000
0.5000 0.5000 0.5000
```

2.
Computed, not measured: a PBEsol-optimized structure of CoSnO3 at the meta-GGA SCAN level of DFT.

## Properties
Crystal system   trigonal
Formation energy (no corrections)   -1489 meV per atom
Space-group type   R-3 (148)

```
CoSnO3
1.0
2.6258 1.5160 4.6939
-2.6258 1.5160 4.6939
0.0000 -3.0320 4.6939
Co Sn O
2 2 6
direct
0.1457 0.1457 0.1457
0.8543 0.8543 0.8543
0.3538 0.3538 0.3538
0.6462 0.6462 0.6462
0.0506 0.4475 0.7513
0.2487 0.9494 0.5525
0.4475 0.7513 0.0506
0.5525 0.2487 0.9494
0.7513 0.0506 0.4475
0.9494 0.5525 0.2487
```

3.
Computed, not measured: a PBEsol-optimized structure of Ti2CuW at the meta-GGA SCAN level of DFT.

## Properties
ΔH_f (0 K)   -90 meV/atom
D(E_F)   2.609 states/eV per cell
Crystal system   cubic
Space-group type   Fm-3m (225)

```
Ti2CuW
1.0
0.0000 3.0835 3.0835
3.0835 0.0000 3.0835
3.0835 3.0835 0.0000
Ti Cu W
2 1 1
direct
0.2500 0.2500 0.2500
0.7500 0.7500 0.7500
0.0000 0.0000 0.0000
0.5000 0.5000 0.5000
```

4.
Computed, not measured: a PBEsol-optimized structure of GdPd3 at the meta-GGA SCAN level of DFT.

## Properties
ΔH_f (0 K)   -859 meV/atom
D(E_F)   1.507 states/eV per cell
Crystal system   cubic
Space-group type   Pm-3m (221)

```
GdPd3
1.0
4.0673 0.0000 0.0000
0.0000 4.0673 0.0000
0.0000 0.0000 4.0673
Gd Pd
1 3
direct
0.0000 0.0000 0.0000
0.0000 0.5000 0.5000
0.5000 0.0000 0.5000
0.5000 0.5000 0.0000
```

Please write out number 4 again, unchanged.
Computed, not measured: a PBEsol-optimized structure of GdPd3 at the meta-GGA SCAN level of DFT.

## Properties
ΔH_f (0 K)   -859 meV/atom
D(E_F)   1.507 states/eV per cell
Crystal system   cubic
Space-group type   Pm-3m (221)

```
GdPd3
1.0
4.0673 0.0000 0.0000
0.0000 4.0673 0.0000
0.0000 0.0000 4.0673
Gd Pd
1 3
direct
0.0000 0.0000 0.0000
0.0000 0.5000 0.5000
0.5000 0.0000 0.5000
0.5000 0.5000 0.0000
```

Question: What is the formula in the second record?
Answer: CoSnO3